# 1
## La2Pr4Cd (PBE)

Data for an optimized crystal structure of La2Pr4Cd.

Computed properties:
energy above the lowest structure with this stoichiometry: 65 meV/atom
ΔE_f: 0.0285 eV per atom
Fermi-level density of states: 1.29 states/eV per atom

Geometry as CIF:
```
data_La2Pr4Cd
_symmetry_space_group_name_H-M 'C 1 2/m 1'
_symmetry_Int_Tables_number 12
_symmetry_space_group_name_Hall '-C 2y'
_cell_length_a 17.358
_cell_length_b 3.610
_cell_length_c 8.844
_cell_angle_alpha 90.00
_cell_angle_beta 117.52
_cell_angle_gamma 90.00
loop_
_atom_site_label
_atom_site_fract_x
_atom_site_fract_y
_atom_site_fract_z
_atom_site_occupancy
La1 0.218 0.000 0.141 1
Pr1 0.080 0.000 0.703 1
Pr2 0.127 0.500 0.385 1
Cd1 0.000 0.000 0.000 1
```

=====

# 2
## La2Pr5Cd4 (PBE)

Data for an optimized crystal structure of La2Pr5Cd4.

Computed properties:
ΔE_f: -0.0282 eV per atom
Fermi-level density of states: 1.21 states/eV per atom

Geometry as CIF:
```
data_La2Pr5Cd4
_symmetry_space_group_name_H-M 'C 1 2/m 1'
_symmetry_Int_Tables_number 12
_symmetry_space_group_name_Hall '-C 2y'
_cell_length_a 23.344
_cell_length_b 3.631
_cell_length_c 8.575
_cell_angle_alpha 90.00
_cell_angle_beta 106.47
_cell_angle_gamma 90.00
loop_
_atom_site_label
_atom_site_fract_x
_atom_site_fract_y
_atom_site_fract_z
_atom_site_occupancy
La1 0.234 0.000 0.309 1
Pr1 0.000 0.000 0.500 1
Pr2 0.124 0.500 0.464 1
Pr3 0.167 0.500 0.929 1
Cd1 0.017 0.500 0.831 1
Cd2 0.084 0.000 0.119 1
```

=====

# 3
## La2Pr5Cd3 (PBE)

Data for an optimized crystal structure of La2Pr5Cd3.

Computed properties:
ΔE_f: -0.1392 eV per atom
Fermi-level density of states: 1.19 states/eV per atom

Geometry as CIF:
```
data_La2Pr5Cd3
_symmetry_space_group_name_H-M 'P -1'
_symmetry_Int_Tables_number 2
_symmetry_space_group_name_Hall '-P 1'
_cell_length_a 6.790
_cell_length_b 9.991
_cell_length_c 9.995
_cell_angle_alpha 107.50
_cell_angle_beta 92.92
_cell_angle_gamma 92.87
loop_
_atom_site_label
_atom_site_fract_x
_atom_site_fract_y
_atom_site_fract_z
_atom_site_occupancy
La1 0.083 0.364 0.380 1
La2 0.416 0.120 0.136 1
Pr1 0.021 0.689 0.284 1
Pr2 0.086 0.777 0.979 1
Pr3 0.250 0.039 0.461 1
Pr4 0.414 0.521 0.722 1
Pr5 0.479 0.216 0.811 1
Cd1 0.121 0.973 0.769 1
Cd2 0.251 0.476 0.024 1
Cd3 0.379 0.732 0.527 1
```

=====

# 4
## La8PrCd2 (PBE)

Data for an optimized crystal structure of La8PrCd2.

Computed properties:
energy above the lowest structure with this stoichiometry: 62 meV/atom
ΔE_f: -0.0254 eV per atom
Fermi-level density of states: 1.19 states/eV per atom

Geometry as CIF:
```
data_La8PrCd2
_symmetry_space_group_name_H-M 'C 1 2/m 1'
_symmetry_Int_Tables_number 12
_symmetry_space_group_name_Hall '-C 2y'
_cell_length_a 15.611
_cell_length_b 7.024
_cell_length_c 6.897
_cell_angle_alpha 90.00
_cell_angle_beta 100.61
_cell_angle_gamma 90.00
loop_
_atom_site_label
_atom_site_fract_x
_atom_site_fract_y
_atom_site_fract_z
_atom_site_occupancy
La1 0.091 0.000 0.437 1
La2 0.091 0.227 0.932 1
La3 0.204 0.500 0.295 1
Pr1 0.000 0.500 0.500 1
Cd1 0.234 0.500 0.779 1
```